meta-GGA SCAN BeTcBr, PBEsol geometry; crystal system = cubic; offset from the most stable computed form = 876 meV per atom; E_form (uncorrected) = 1458.8 meV/atom; uncorrected energy = -18.17 eV/atom
1.0
0.000 2.889 2.889
2.889 0.000 2.889
2.889 2.889 0.000
Be Tc Br
1 1 1
Direct
0.000 0.000 0.000
0.500 0.500 0.500
0.750 0.750 0.750